LaYIn2 after structural relaxation, computed with PBE.

Cell: 8.658 8.658 6.684 Å, 90.00 90.00 90.00°
Space group I-42d (No. 122)
Inequivalent atoms, fractional coordinates:
La1 0.000 0.000 0.000 [4 per cell]
Y1 0.000 0.000 0.500 [4 per cell]
In1 0.235 0.250 0.625 [8 per cell]

Results
- DFT formation energy: -0.136 eV per atom